A plane-wave DFT calculation with PBE-GGA was carried out for an optimized crystal structure of CePr2O5.

Output
The electronic total energy is -0.3066 hartree per atom. As for the density of states at the Fermi level: 0.00 states/eV/atom. As for the formation energy from raw total energies: -3.3068 eV/atom.

Cell lengths 5.9242, 6.9584, 8.1165 Å; angles 111.27, 90.00, 115.19 degrees
Atoms (fractional coordinates):
1 Ce 0.0000 0.0000 0.0000
2 Ce 0.0000 0.0000 0.5000
3 Pr 0.6333 0.2839 0.2579
4 Pr 0.3495 0.7161 0.2421
5 Pr 0.6505 0.2839 0.7579
6 Pr 0.3667 0.7161 0.7421
7 O 0.0102 0.3492 0.1461
8 O 0.7485 0.1509 0.4606
9 O 0.4024 0.1509 0.9606
10 O 0.6609 0.6508 0.3539
11 O 0.3391 0.3492 0.6461
12 O 0.1967 0.0000 0.2500
13 O 0.5976 0.8491 0.0394
14 O 0.2515 0.8491 0.5394
15 O 0.9898 0.6508 0.8539
16 O 0.8033 0.0000 0.7500


A plane-wave DFT calculation with PBE-GGA was carried out for an optimized crystal structure of CePr2O.

Output
The electronic total energy is -0.2167 hartree per atom. The calculation puts the energy relative to the lowest polymorph listed for this composition at 277 meV per atom. As for the density of states at the Fermi level: 1.31 states/eV/atom. As for the formation energy from raw total energies: -0.7837 eV/atom.

Cell lengths 3.2588, 3.2588, 8.6994 Å; angles 90.00, 90.00, 90.00 degrees
Atoms (fractional coordinates):
1 Pr 0.0000 0.0000 0.8183
2 Pr 0.0000 0.0000 0.1817
3 O 0.5000 0.5000 0.0000
4 Ce 0.5000 0.5000 0.5000


A plane-wave DFT calculation with PBE-GGA was carried out for an optimized crystal structure of CePrO.

Output
The electronic total energy is -0.2526 hartree per atom. As for the density of states at the Fermi level: 1.76 states/eV/atom. As for the formation energy from raw total energies: -1.6505 eV/atom.

Cell lengths 3.7067, 3.7067, 6.0097 Å; angles 90.00, 90.00, 120.00 degrees
Atoms (fractional coordinates):
1 Pr 0.3333 0.6667 0.5697
2 O 0.6667 0.3333 0.3123
3 Ce 0.0000 0.0000 0.1180


A plane-wave DFT calculation with PBE-GGA was carried out for an optimized crystal structure of Ce3PrO8.

Output
The electronic total energy is -0.3092 hartree per atom. As for the density of states at the Fermi level: 1.13 states/eV/atom. As for the formation energy from raw total energies: -3.2257 eV/atom.

Cell lengths 6.7634, 6.7634, 6.7634 Å; angles 131.85, 131.85, 70.47 degrees
Atoms (fractional coordinates):
1 Ce 0.2500 0.7500 0.5000
2 Ce 0.5000 0.5000 0.0000
3 Ce 0.7500 0.2500 0.5000
4 Pr 0.0000 0.0000 0.0000
5 O 0.1284 0.1284 0.5130
6 O 0.3846 0.8716 0.0000
7 O 0.6154 0.6154 0.4870
8 O 0.8716 0.3846 0.0000
9 O 0.8716 0.8716 0.4870
10 O 0.1284 0.6154 0.0000
11 O 0.3846 0.3846 0.5130
12 O 0.6154 0.1284 0.0000


A plane-wave DFT calculation with PBE-GGA was carried out for an optimized crystal structure of CePr2O6.

Output
The electronic total energy is -0.2896 hartree per atom. As for the density of states at the Fermi level: 0.82 states/eV/atom. As for the formation energy from raw total energies: -2.8530 eV/atom.

Cell lengths 9.1111, 9.1111, 9.1111 Å; angles 155.08, 155.08, 35.53 degrees
Atoms (fractional coordinates):
1 Pr 0.3396 0.3396 0.0000
2 Pr 0.6604 0.6604 0.0000
3 O 0.4226 0.9226 0.5000
4 O 0.7500 0.2500 0.5000
5 O 0.0774 0.5774 0.5000
6 O 0.2500 0.7500 0.5000
7 O 0.5774 0.0774 0.5000
8 O 0.9226 0.4226 0.5000
9 Ce 0.0000 0.0000 0.0000


A plane-wave DFT calculation with PBE-GGA was carried out for an optimized crystal structure of Ce2Pr2O7.

Output
The electronic total energy is -0.3112 hartree per atom. As for the density of states at the Fermi level: 0.00 states/eV/atom. As for the formation energy from raw total energies: -3.3644 eV/atom.

Cell lengths 7.9002, 7.9002, 7.9002 Å; angles 60.00, 60.00, 60.00 degrees
Atoms (fractional coordinates):
1 Ce 0.6250 0.1250 0.1250
2 Ce 0.1250 0.6250 0.1250
3 Ce 0.1250 0.1250 0.6250
4 Ce 0.1250 0.1250 0.1250
5 Pr 0.6250 0.6250 0.6250
6 Pr 0.6250 0.6250 0.1250
7 Pr 0.6250 0.1250 0.6250
8 Pr 0.1250 0.6250 0.6250
9 O 0.2209 0.2209 0.7791
10 O 0.2209 0.7791 0.2209
11 O 0.4709 0.0291 0.4709
12 O 0.4709 0.4709 0.0291
13 O 0.7500 0.7500 0.7500
14 O 0.7791 0.2209 0.2209
15 O 0.4709 0.0291 0.0291
16 O 0.0291 0.4709 0.4709
17 O 0.0291 0.0291 0.4709
18 O 0.0291 0.4709 0.0291
19 O 0.2209 0.7791 0.7791
20 O 0.5000 0.5000 0.5000
21 O 0.7791 0.2209 0.7791
22 O 0.7791 0.7791 0.2209